Compound: HgPbSeO
Source: OQMD
Functional: PBE
Structure: relaxed

Its energy relative to the lowest polymorph listed for this composition is 40.8 meV/atom.

It has space group P2_12_12_1 (No. 19), with a = 6.312 Å, b = 7.860 Å, c = 7.895 Å, α = 90.00°, β = 90.00° and γ = 90.00°. The asymmetric unit holds Hg at (0.035, 0.117, 0.313), Pb at (0.023, 0.202, 0.846), Se at (0.249, 0.435, 0.479) and O at (0.228, 0.137, 0.099).

Compound: HoF
Source: OQMD
Functional: PBE
Structure: relaxed

Its energy relative to the lowest polymorph listed for this composition is 0.0 meV/atom.

It has space group F-43m (No. 216), with a = 5.403 Å, b = 5.403 Å, c = 5.403 Å, α = 90.00°, β = 90.00° and γ = 90.00°. The asymmetric unit holds Ho at (0.000, 0.000, 0.000) and F at (0.250, 0.250, 0.250).

Compound: ErLuGa4Ir2
Source: OQMD
Functional: PBE
Structure: relaxed

As for the energy: -5.617 eV per atom.

It has space group Amm2 (No. 38), with a = 6.939 Å, b = 4.234 Å, c = 9.965 Å, α = 90.00°, β = 90.00° and γ = 90.00°. The asymmetric unit holds Er at (0.000, 0.000, 0.000), Lu at (0.500, 0.000, 0.845), Ga at (0.199, 0.000, 0.286), Ga at (0.302, 0.000, 0.561), Ir at (0.000, 0.000, 0.713) and Ir at (0.500, 0.000, 0.132).

Compound: NdBeIr
Source: OQMD
Functional: PBE
Structure: relaxed

Its energy relative to the lowest polymorph listed for this composition is 0.0 meV/atom.

It has space group F-43m (No. 216), with a = 6.130 Å, b = 6.130 Å, c = 6.130 Å, α = 90.00°, β = 90.00° and γ = 90.00°. The asymmetric unit holds Nd at (0.000, 0.000, 0.000), Be at (0.250, 0.250, 0.750) and Ir at (0.000, 0.000, 0.500).